Density functional theory data (GGA-PBE) for a geometry-optimized PmTlCd structure.

mass density	7.97	Mg/m³
spin magnetization	0.0	μB per cell
electronic total energy	-2.639	eV per atom
energy relative to the lowest polymorph listed for this composition	0.2712	eV per atom

```
PmTlCd
1.0
7.275 0.000 0.000
0.000 7.275 0.000
0.000 0.000 7.275
Pm Tl Cd
4 4 4
Cartesian
0.000 0.000 0.000 Pm
0.000 3.638 3.638 Pm
3.638 0.000 3.638 Pm
3.638 3.638 0.000 Pm
1.819 1.819 1.819 Tl
1.819 5.457 5.457 Tl
5.457 1.819 5.457 Tl
5.457 5.457 1.819 Tl
1.819 1.819 5.457 Cd
1.819 5.457 1.819 Cd
5.457 1.819 1.819 Cd
5.457 5.457 5.457 Cd
```